The following is a DFT calculation (PBE) of a relaxed BeCrRe2Se crystal.

It has space group P4/mmm (No. 123), with a = 4.507 Å, b = 4.507 Å, c = 4.019 Å, α = 90.00°, β = 90.00° and γ = 90.00°. Symmetry generates all atoms from Be at (0.000, 0.000, 0.000), Cr at (0.000, 0.000, 0.500), Re at (0.000, 0.500, 0.500) and Se at (0.500, 0.500, 0.000).

Its raw formation energy is 7.35 eV per formula unit.

The following is a DFT calculation (PBE) of a relaxed CsKV2Br8 crystal.

It has space group R-3 (No. 148, hexagonal axes), with a = 7.3133 Å, b = 7.3133 Å, c = 31.3645 Å, α = 90.00°, β = 90.00° and γ = 120.00°. Symmetry generates all atoms from Cs at (0.0000, 0.0000, 0.0000), K at (0.0000, 0.0000, 0.5000), V at (0.0000, 0.0000, 0.2546), Br at (0.0000, 0.0000, 0.3304) and Br at (0.0035, 0.6224, 0.4362).

Its raw formation energy is -13.81 eV per formula unit.

The following is a DFT calculation (PBE) of a relaxed Pa4Te5Os2 crystal.

It has space group P2/m (No. 10), with a = 7.542 Å, b = 3.820 Å, c = 11.434 Å, α = 90.00°, β = 106.44° and γ = 90.00°. Symmetry generates all atoms from Pa at (0.210, 0.000, 0.427), Pa at (0.267, 0.000, 0.795), Te at (0.048, 0.500, 0.175), Te at (0.465, 0.500, 0.646), Te at (0.500, 0.500, 0.000) and Os at (0.072, 0.500, 0.621).

Its raw formation energy is -6.97 eV per formula unit.

The following is a DFT calculation (PBE) of a relaxed Sm7Y12Ho crystal.

It has space group R-3 (No. 148, hexagonal axes), with a = 12.0305 Å, b = 12.0305 Å, c = 16.2864 Å, α = 90.00°, β = 90.00° and γ = 120.00°. Symmetry generates all atoms from Sm at (0.0000, 0.0000, 0.0000), Sm at (0.0559, 0.8673, 0.2912), Y at (0.0254, 0.5754, 0.2209), Y at (0.0531, 0.4674, 0.5830) and Ho at (0.0000, 0.0000, 0.5000).

The value obtained for the formation enthalpy at 0 K is 460 kJ/mol of formula units. The value obtained for the energy above the lowest structure with this stoichiometry is 0.00 eV/f.u.

The following is a DFT calculation (PBE) of a relaxed ZrH2F crystal.

It has space group I-42d (No. 122), with a = 3.375 Å, b = 3.375 Å, c = 13.662 Å, α = 90.00°, β = 90.00° and γ = 90.00°. Symmetry generates all atoms from Zr at (0.000, 0.000, 0.000), H at (0.158, 0.750, 0.125) and F at (0.000, 0.000, 0.500).

The value obtained for the energy above the lowest structure with this stoichiometry is 0.08 eV/f.u.

The following is a DFT calculation (PBE) of a relaxed BaSbBr2 crystal.

It has space group R-3m (No. 166, hexagonal axes), with a = 4.5081 Å, b = 4.5081 Å, c = 34.0213 Å, α = 90.00°, β = 90.00° and γ = 120.00°. Symmetry generates all atoms from Ba at (0.0000, 0.0000, 0.0000), Sb at (0.0000, 0.0000, 0.5000) and Br at (0.0000, 0.0000, 0.2792).

The value obtained for the energy above the lowest structure with this stoichiometry is 0.73 eV/f.u. Its raw formation energy is -3.67 eV per formula unit.

no.,calculated total energy (eV/cell)
1,-34.38
2,-142.14
3,-83.12
4,-331.25
5,-82.53
6,-39.19